This record from the Alexandria database describes a relaxed Nd6MgIn3 crystal. The functional is PBE-GGA.

Geometry as CIF:
```
data_Nd6MgIn3
_chemical_formula_sum 'Nd24 Mg4 In12'
_cell_length_a 11.7003
_cell_length_b 16.5874
_cell_length_c 6.5073
_cell_angle_alpha 90.00
_cell_angle_beta 90.00
_cell_angle_gamma 90.00
_symmetry_space_group_name_H-M 'C m c 21'
_symmetry_Int_Tables_number 36
_symmetry_space_group_name_Hall 'C 2c -2'
loop_
_atom_site_label
_atom_site_fract_x
_atom_site_fract_y
_atom_site_fract_z
Nd1 0.0000 0.0597 0.0000
Nd2 0.0000 0.2900 0.2049
Nd3 0.1965 0.4698 0.2768
Nd4 0.2427 0.2945 0.5593
Mg1 0.0000 0.2226 0.7338
In1 0.0000 0.4003 0.6370
In2 0.1317 0.1163 0.4502
```

Computed properties:
formation energy from the elements: -0.184 eV per atom

This record from the Alexandria database describes a relaxed In2SbRh crystal. The functional is PBE-GGA.

Geometry as CIF:
```
data_In2SbRh
_chemical_formula_sum 'In4 Sb2 Rh2'
_cell_length_a 4.3996
_cell_length_b 4.3996
_cell_length_c 8.8358
_cell_angle_alpha 90.00
_cell_angle_beta 90.00
_cell_angle_gamma 90.00
_symmetry_space_group_name_H-M 'I 4/m m m'
_symmetry_Int_Tables_number 139
_symmetry_space_group_name_Hall '-I 4 2'
loop_
_atom_site_label
_atom_site_fract_x
_atom_site_fract_y
_atom_site_fract_z
In1 0.0000 0.5000 0.2500
Sb1 0.0000 0.0000 0.0000
Rh1 0.0000 0.0000 0.5000
```

Computed properties:
formation energy without anion corrections: 0.12 eV/atom

This record from the Alexandria database describes a relaxed AgSnH2 crystal. The functional is PBE-GGA.

Geometry as CIF:
```
data_AgSnH2
_chemical_formula_sum 'Ag4 Sn4 H8'
_cell_length_a 5.9863
_cell_length_b 5.9863
_cell_length_c 5.9863
_cell_angle_alpha 90.00
_cell_angle_beta 90.00
_cell_angle_gamma 90.00
_symmetry_space_group_name_H-M 'F m -3 m'
_symmetry_Int_Tables_number 225
_symmetry_space_group_name_Hall '-F 4 2 3'
loop_
_atom_site_label
_atom_site_fract_x
_atom_site_fract_y
_atom_site_fract_z
Ag1 0.0000 0.0000 0.0000
Sn1 0.0000 0.0000 0.5000
H1 0.2500 0.2500 0.2500
```

Computed properties:
offset from the most stable computed form: 264 meV per atom

This record from the Alexandria database describes a relaxed TiSbTeH crystal. The functional is PBE-GGA.

Geometry as CIF:
```
data_TiSbTeH
_chemical_formula_sum 'Ti2 Sb2 Te2 H2'
_cell_length_a 5.8007
_cell_length_b 3.3495
_cell_length_c 8.5243
_cell_angle_alpha 90.00
_cell_angle_beta 103.20
_cell_angle_gamma 90.00
_symmetry_space_group_name_H-M 'C 1 m 1'
_symmetry_Int_Tables_number 8
_symmetry_space_group_name_Hall 'C -2y'
loop_
_atom_site_label
_atom_site_fract_x
_atom_site_fract_y
_atom_site_fract_z
Ti1 0.0000 0.0000 0.0000
Sb1 0.2626 0.5000 0.2855
Te1 0.0855 0.5000 0.7581
H1 0.3398 0.0000 0.0193
```

Computed properties:
calculated total energy: -4.9851 eV/atom

This record from the Alexandria database describes a relaxed CaSnHg2N crystal. The functional is PBE-GGA.

Geometry as CIF:
```
data_CaSnHg2N
_chemical_formula_sum 'Ca1 Sn1 Hg2 N1'
_cell_length_a 5.7549
_cell_length_b 5.7549
_cell_length_c 4.1079
_cell_angle_alpha 90.00
_cell_angle_beta 90.00
_cell_angle_gamma 90.00
_symmetry_space_group_name_H-M 'P 4/m m m'
_symmetry_Int_Tables_number 123
_symmetry_space_group_name_Hall '-P 4 2'
loop_
_atom_site_label
_atom_site_fract_x
_atom_site_fract_y
_atom_site_fract_z
Ca1 0.0000 0.0000 0.0000
Sn1 0.5000 0.5000 0.5000
Hg1 0.0000 0.5000 0.5000
N1 0.5000 0.5000 0.0000
```

Computed properties:
formation energy without anion corrections: 0.37 eV/atom

This record from the Alexandria database describes a relaxed RbNaAsS2 crystal. The functional is PBE-GGA.

Geometry as CIF:
```
data_RbNaAsS2
_chemical_formula_sum 'Rb4 Na4 As4 S8'
_cell_length_a 5.5828
_cell_length_b 14.9692
_cell_length_c 6.6262
_cell_angle_alpha 90.00
_cell_angle_beta 90.00
_cell_angle_gamma 90.00
_symmetry_space_group_name_H-M 'C m m e'
_symmetry_Int_Tables_number 67
_symmetry_space_group_name_Hall '-C 2a 2'
loop_
_atom_site_label
_atom_site_fract_x
_atom_site_fract_y
_atom_site_fract_z
Rb1 0.0000 0.2500 0.2475
Na1 0.2500 0.0000 0.5000
As1 0.0000 0.0000 0.0000
S1 0.0000 0.1165 0.7443
```

Computed properties:
formation energy without anion corrections: -0.48 eV/atom